1.
The following is a DFT calculation (PBE) of a relaxed LaPuMg crystal.

## Properties
Total magnetic moment (μB per atom): 2.60
Excess energy over the best structure of this formula in the dataset (eV/atom): 0.000

CIF file:
```
data_LaPuMg
_space_group_name_H-M_alt 'F -4 3 m'
_space_group_IT_number 216
_space_group_name_Hall 'F -4 2 3'
_cell_length_a 7.5793
_cell_length_b 7.5793
_cell_length_c 7.5793
_cell_angle_alpha 90.00
_cell_angle_beta 90.00
_cell_angle_gamma 90.00
loop_
_atom_site_label
_atom_site_fract_x
_atom_site_fract_y
_atom_site_fract_z
La1 0.0000 0.0000 0.0000
Pu1 0.0000 0.0000 0.5000
Mg1 0.2500 0.2500 0.2500
```

2.
The following is a DFT calculation (PBE) of a relaxed TmAgSO crystal.

## Properties
Total magnetic moment (μB per atom): 0.00
Total energy (eV per atom): -5.57

CIF file:
```
data_TmAgSO
_space_group_name_H-M_alt 'P c a 21'
_space_group_IT_number 29
_cell_length_a 7.6291
_cell_length_b 7.7151
_cell_length_c 5.4110
_cell_angle_alpha 90.00
_cell_angle_beta 90.00
_cell_angle_gamma 90.00
loop_
_space_group_symop_operation_xyz
'x,y,z'
'-x,-y,z+1/2'
'-x+1/2,y,z+1/2'
'x+1/2,-y,z'
loop_
_atom_site_label
_atom_site_fract_x
_atom_site_fract_y
_atom_site_fract_z
Tm1 0.0520 0.1822 0.0000
Ag1 0.1323 0.6215 0.9986
S1 0.0953 0.1340 0.5002
O1 0.0787 0.5969 0.5019
```

3.
The following is a DFT calculation (PBE) of a relaxed Dy4Y3Te2Pd2 crystal.

## Properties
Total magnetic moment (μB per atom): 0.00
Total energy (eV per atom): -5.81

CIF file:
```
data_Dy4Y3Te2Pd2
_space_group_name_H-M_alt 'I m m 2'
_space_group_IT_number 44
_cell_length_a 3.9446
_cell_length_b 15.7986
_cell_length_c 9.6372
_cell_angle_alpha 90.00
_cell_angle_beta 90.00
_cell_angle_gamma 90.00
loop_
_space_group_symop_operation_xyz
'x,y,z'
'-x,-y,z'
'-x,y,z'
'x,-y,z'
'x+1/2,y+1/2,z+1/2'
'-x+1/2,-y+1/2,z+1/2'
'-x+1/2,y+1/2,z+1/2'
'x+1/2,-y+1/2,z+1/2'
loop_
_atom_site_label
_atom_site_fract_x
_atom_site_fract_y
_atom_site_fract_z
Dy1 0.0000 0.1281 0.0000
Dy2 0.0000 0.3174 0.2071
Y1 0.0000 0.0000 0.5848
Y2 0.0000 0.3570 0.8471
Te1 0.0000 0.0000 0.2473
Te2 0.0000 0.5000 0.3474
Pd1 0.0000 0.2385 0.5134
```

4.
The following is a DFT calculation (PBE) of a relaxed AlFeCuW crystal.

## Properties
Total magnetic moment (μB per atom): 0.58
Excess energy over the best structure of this formula in the dataset (eV/atom): 0.334

CIF file:
```
data_AlFeCuW
_space_group_name_H-M_alt 'F -4 3 m'
_space_group_IT_number 216
_space_group_name_Hall 'F -4 2 3'
_cell_length_a 6.0029
_cell_length_b 6.0029
_cell_length_c 6.0029
_cell_angle_alpha 90.00
_cell_angle_beta 90.00
_cell_angle_gamma 90.00
loop_
_atom_site_label
_atom_site_fract_x
_atom_site_fract_y
_atom_site_fract_z
Al1 0.0000 0.0000 0.0000
Fe1 0.2500 0.2500 0.7500
Cu1 0.0000 0.0000 0.5000
W1 0.2500 0.2500 0.2500
```

5.
The following is a DFT calculation (PBE) of a relaxed Ta13Ni2 crystal.

## Properties
Formation energy (eV per formula unit): 3.0
Total magnetic moment (μB per atom): 0.00

CIF file:
```
data_Ta13Ni2
_space_group_name_H-M_alt 'P 42/m n m'
_space_group_IT_number 136
_space_group_name_Hall '-P 4n 2n'
_cell_length_a 10.0351
_cell_length_b 10.0351
_cell_length_c 5.3297
_cell_angle_alpha 90.00
_cell_angle_beta 90.00
_cell_angle_gamma 90.00
loop_
_atom_site_label
_atom_site_fract_x
_atom_site_fract_y
_atom_site_fract_z
Ta1 0.0000 0.0000 0.0000
Ta2 0.0374 0.3587 0.5000
Ta3 0.0639 0.2681 0.0000
Ta4 0.1812 0.8188 0.2514
Ni1 0.1007 0.1007 0.5000
```

6.
The following is a DFT calculation (PBE) of a relaxed AgI crystal.

## Properties
Total energy (eV per atom): -2.46

CIF file:
```
data_AgI
_space_group_name_H-M_alt 'F -4 3 m'
_space_group_IT_number 216
_space_group_name_Hall 'F -4 2 3'
_cell_length_a 6.5596
_cell_length_b 6.5596
_cell_length_c 6.5596
_cell_angle_alpha 90.00
_cell_angle_beta 90.00
_cell_angle_gamma 90.00
loop_
_atom_site_label
_atom_site_fract_x
_atom_site_fract_y
_atom_site_fract_z
Ag1 0.0000 0.0000 0.0000
I1 0.2500 0.2500 0.2500
```

7.
The following is a DFT calculation (PBE) of a relaxed TbDyP2Ir2N2 crystal.

## Properties
Total magnetic moment (μB per atom): 0.06
Total energy (eV per atom): -7.66

CIF file:
```
data_TbDyP2Ir2N2
_space_group_name_H-M_alt 'P 4 m m'
_space_group_IT_number 99
_cell_length_a 4.0028
_cell_length_b 4.0028
_cell_length_c 8.2510
_cell_angle_alpha 90.00
_cell_angle_beta 90.00
_cell_angle_gamma 90.00
loop_
_space_group_symop_operation_xyz
'x,y,z'
'-y,x,z'
'-x,-y,z'
'y,-x,z'
'-x,y,z'
'y,x,z'
'x,-y,z'
'-y,-x,z'
loop_
_atom_site_label
_atom_site_fract_x
_atom_site_fract_y
_atom_site_fract_z
Tb1 0.0000 0.0000 0.0000
Dy1 0.5000 0.5000 0.7517
P1 0.0000 0.0000 0.5325
P2 0.5000 0.5000 0.2198
Ir1 0.0000 0.5000 0.3761
N1 0.0000 0.5000 0.8743
```

8.
The following is a DFT calculation (PBE) of a relaxed TaReNO crystal.

## Properties
Total magnetic moment (μB per atom): 0.00
Excess energy over the best structure of this formula in the dataset (eV/atom): 0.000

CIF file:
```
data_TaReNO
_space_group_name_H-M_alt 'P c a 21'
_space_group_IT_number 29
_cell_length_a 5.2348
_cell_length_b 7.5189
_cell_length_c 4.8904
_cell_angle_alpha 90.00
_cell_angle_beta 90.00
_cell_angle_gamma 90.00
loop_
_space_group_symop_operation_xyz
'x,y,z'
'-x,-y,z+1/2'
'-x+1/2,y,z+1/2'
'x+1/2,-y,z'
loop_
_atom_site_label
_atom_site_fract_x
_atom_site_fract_y
_atom_site_fract_z
Ta1 0.0879 0.1803 0.0000
Re1 0.0193 0.4216 0.5125
N1 0.1715 0.6546 0.6645
O1 0.1414 0.0149 0.6844
```